Tb6Zn5Au | Alexandria via LeMat-Bulk | PBE | relaxed; symmetry = Cmmm (65); DOS at the Fermi energy = 12.4 states/eV/cell; ΔE_f = -0.42 eV/atom; total magnetization = 0.000 μB per atom
1.0
2.535 -7.614 0.000
2.535 7.614 0.000
0.000 0.000 7.180
Tb Zn Au
6 5 1
Direct
0.000 0.000 0.249
0.000 0.000 0.751
0.333 0.667 0.247
0.333 0.667 0.753
0.667 0.333 0.247
0.667 0.333 0.753
0.168 0.832 0.000
0.173 0.827 0.500
0.500 0.500 0.000
0.827 0.173 0.500
0.832 0.168 0.000
0.500 0.500 0.500